1.
Zr3Zn2Ru, relaxed, DFT PBE; D(E_F) = 3.4 states/eV/f.u.; symmetry = P-3m1 (164); crystal system = trigonal; VASP energy = -6.596 eV per atom
1.0
4.677 0.000 0.000
-2.338 4.050 0.000
0.000 0.000 5.810
Zr Ru Zn
3 1 2
direct
0.333 0.667 0.166
0.000 0.000 0.500
0.667 0.333 0.834
0.000 0.000 0.000
0.667 0.333 0.328
0.333 0.667 0.672

=====

2.
Zr2ZnRu, relaxed, DFT PBE; D(E_F) = 3.2 states/eV/f.u.; symmetry = P4mm (99); crystal system = tetragonal; VASP energy = -7.170 eV per atom
1.0
-2.354 1.880 -1.457
-1.975 -2.687 -0.276
-2.575 1.294 5.832
Zr Ru Zn
2 1 1
direct
0.500 0.500 0.284
0.000 0.000 0.974
0.000 0.000 0.520
0.500 0.500 0.722

=====

3.
Zr6ZnRu, relaxed, DFT PBE; D(E_F) = 6.1 states/eV/f.u.; symmetry = I4/mmm (139); crystal system = tetragonal; VASP energy = -7.936 eV per atom
1.0
1.511 -7.922 2.056
2.992 -3.671 6.844
-5.303 5.522 -3.263
Zr Ru Zn
6 1 1
direct
0.111 0.611 0.500
0.889 0.389 0.500
0.750 0.750 0.000
0.250 0.250 0.000
0.611 0.111 0.500
0.389 0.889 0.500
0.000 0.000 0.000
0.500 0.500 0.000

=====

4.
Zr2Zn2Ru, relaxed, DFT PBE; D(E_F) = 5.4 states/eV/f.u.; symmetry = P4/mbm (127); crystal system = tetragonal; VASP energy = -5.997 eV per atom
1.0
6.890 0.000 0.000
0.000 6.890 0.000
0.000 0.000 3.700
Zn Zr Ru
4 4 2
direct
0.625 0.125 0.000
0.375 0.875 0.000
0.875 0.625 0.000
0.125 0.375 0.000
0.178 0.678 0.500
0.678 0.822 0.500
0.322 0.178 0.500
0.822 0.322 0.500
0.000 0.000 0.000
0.500 0.500 0.000

=====

5.
Zr2ZnRu, relaxed, DFT PBE; D(E_F) = 3.3 states/eV/f.u.; symmetry = R-3m (166); crystal system = trigonal; VASP energy = -7.077 eV per atom
1.0
-7.859 -1.225 -3.062
-6.380 -3.995 -3.998
-7.601 -3.733 -0.968
Zn Ru Zr
1 1 2
direct
0.750 0.750 0.750
0.250 0.250 0.250
0.505 0.505 0.505
0.995 0.995 0.995

=====

6.
Zr2ZnRu, relaxed, DFT PBE; D(E_F) = 3.8 states/eV/f.u.; symmetry = I-4m2 (119); crystal system = tetragonal; VASP energy = -7.135 eV per atom
1.0
-0.079 -0.017 5.362
2.428 -4.123 2.422
1.244 3.518 -3.852
Zr Ru Zn
2 1 1
direct
0.000 0.000 0.000
0.250 0.750 0.500
0.500 0.500 0.000
0.750 0.250 0.500

=====

7.
ZrRu, relaxed, DFT PBE; D(E_F) = 0.4 states/eV/f.u.; symmetry = Pm-3n (223); crystal system = cubic; VASP energy = -7.817 eV per atom
1.0
-2.194 -1.003 -6.810
-6.092 -3.044 2.411
-3.204 6.475 0.078
Ru Zr
6 6
direct
0.000 0.250 0.500
0.750 0.500 0.000
0.500 0.000 0.750
0.250 0.500 0.000
0.500 0.000 0.250
0.000 0.750 0.500
0.750 0.000 0.500
0.250 0.000 0.500
0.500 0.750 0.000
0.000 0.500 0.250
0.000 0.500 0.750
0.500 0.250 0.000

=====

8.
ZrRu, relaxed, DFT PBE; D(E_F) = 2.0 states/eV/f.u.; symmetry = I4/m (87); crystal system = tetragonal; VASP energy = -9.102 eV per atom
1.0
8.165 0.000 0.000
0.000 8.165 0.000
0.000 0.000 4.505
Ru Zr
8 8
direct
0.352 0.670 0.500
0.148 0.830 0.000
0.852 0.170 0.000
0.330 0.352 0.500
0.670 0.648 0.500
0.648 0.330 0.500
0.830 0.852 0.000
0.170 0.148 0.000
0.993 0.293 0.500
0.293 0.007 0.500
0.507 0.207 0.000
0.707 0.993 0.500
0.007 0.707 0.500
0.493 0.793 0.000
0.207 0.493 0.000
0.793 0.507 0.000

=====

9.
ZrRu, relaxed, DFT PBE; D(E_F) = 2.2 states/eV/f.u.; symmetry = P6_3/mmc (194); crystal system = hexagonal; VASP energy = -8.608 eV per atom
1.0
-1.629 0.151 4.400
-1.314 -3.473 -2.871
6.009 -4.232 2.369
Ru Zr
4 4
direct
0.333 0.667 0.920
0.667 0.333 0.080
0.333 0.667 0.580
0.667 0.333 0.420
0.000 0.000 0.250
0.333 0.667 0.250
0.000 0.000 0.750
0.667 0.333 0.750

=====

10.
ZrRu4, relaxed, DFT PBE; D(E_F) = 5.9 states/eV/f.u.; symmetry = I4/mmm (139); crystal system = tetragonal; VASP energy = -9.023 eV per atom
1.0
0.953 -4.629 3.993
-1.206 0.020 6.068
-2.418 1.347 -5.533
Ru Zr
4 1
direct
0.396 0.396 0.000
0.250 0.750 0.500
0.750 0.250 0.500
0.604 0.604 0.000
0.000 0.000 0.000

=====

11.
Zr5Ru6, relaxed, DFT PBE; D(E_F) = 7.8 states/eV/f.u.; symmetry = Immm (71); crystal system = orthorhombic; VASP energy = -9.275 eV per atom
1.0
0.760 4.456 -0.335
-1.305 -0.259 -6.398
-6.265 -0.889 4.651
Ru Zr
6 5
direct
0.833 0.581 0.665
0.500 0.264 0.000
0.833 0.085 0.665
0.167 0.419 0.335
0.167 0.915 0.335
0.500 0.736 0.000
0.000 0.500 0.000
0.328 0.328 0.657
0.349 0.849 0.698
0.651 0.151 0.302
0.672 0.672 0.343

=====

12.
ZrRu, relaxed, DFT PBE; D(E_F) = 1.7 states/eV/f.u.; symmetry = P6_3/mmc (194); crystal system = hexagonal; VASP energy = -9.115 eV per atom
1.0
4.173 0.000 0.000
-2.087 3.614 0.000
0.000 0.000 5.278
Zr Ru
2 2
direct
0.667 0.333 0.750
0.333 0.667 0.250
0.000 0.000 0.000
0.000 0.000 0.500

=====

| no. | energy of formation (eV/atom) |
| --- | --- |
| 1 | -0.351 |
| 2 | -0.259 |
| 3 | -0.207 |
| 4 | -0.213 |
| 5 | -0.166 |
| 6 | -0.224 |
| 7 | 1.095 |
| 8 | -0.190 |
| 9 | 0.304 |
| 10 | 0.107 |
| 11 | -0.330 |
| 12 | -0.203 |